Density functional theory data (PBEsol) for a relaxed SbAsIr2 crystal.

Cell lengths 2.8868, 5.0485, 9.9327 Å; angles 90.00, 90.00, 90.00 degrees
Last column: nearest neighbours and their distance in Å.
Space group Cmm2 (No. 35)
Asymmetric unit:
Sb1 0.0000 0.0000 0.0000 (multiplicity 2)  2 Ir 2.70, 6 Sb 2.89-2.91
As1 0.0000 0.5000 0.3358 (multiplicity 2)  2 Ir 2.49
Ir1 0.0000 0.0000 0.5400 (multiplicity 2)  2 As 2.49, 2 Ir 2.71
Ir2 0.0000 0.5000 0.7703 (multiplicity 2)  2 Sb 2.70, 8 Ir 2.71-2.91

Excess energy over the best structure of this formula in the dataset = 0.165 eV per atom
Formation energy (no corrections) = 417.3 meV/atom